(1)
A plane-wave DFT calculation with GGA+U was carried out for a relaxed structure of VRuNO2.

```
5
Lattice="-0.974 1.823 -3.103 2.821 -1.609 -1.831 -2.370 -2.997 -1.017" Properties=species:S:1:pos:R:3 pbc="T T T"
O 1.410 -0.805 -0.916
Ru -0.262 -1.392 -2.976
V 0.000 0.000 0.000
N -1.185 -1.499 -0.508
O -0.487 0.912 -1.552
```

## Properties
Magnetization in μB/f.u.: 3.90
Density in Mg/m³: 5.982

=====

(2)
A plane-wave DFT calculation with GGA+U was carried out for a relaxed structure of VRuN2O.

```
5
Lattice="-1.324 0.003 -3.505 2.249 -2.874 -0.852 -3.064 -2.740 1.155" Properties=species:S:1:pos:R:3 pbc="T T T"
O -1.532 -1.370 0.577
N 1.124 -1.437 -0.426
Ru 0.000 0.000 0.000
V -1.070 -2.805 -1.601
N -0.662 0.002 -1.753
```

## Properties
Magnetization in μB/f.u.: 2.42
Density in Mg/m³: 5.429

=====

Quick rundown of energy, same order as above: -35.0, -36.0 eV per cell